(1)
The following is a DFT calculation (GGA-PBE) of a relaxed structure of K8Tl2Au.

a = 11.2301 Å, b = 11.2301 Å, c = 11.2301 Å
α = 146.99°, β = 136.92°, γ = 55.32°
Last column: nearest neighbours and their distance in Å.
Fractional positions:
K 0.1261 0.3691 0.7570  1 Au 3.36
K 0.1999 0.1999 0.0000  4 Tl 3.92-4.13, 6 K 3.92-4.07
K 0.2505 0.0000 0.2505  2 Au 3.80, 6 K 4.12-4.13, 2 Tl 4.24
K 0.3879 0.6309 0.7570  1 Au 3.36
K 0.6121 0.3691 0.2430  1 Au 3.36
K 0.7495 0.0000 0.7495  2 Au 3.80, 6 K 4.12-4.13, 2 Tl 4.24
K 0.8001 0.8001 0.0000  4 Tl 3.92-4.13, 6 K 3.92-4.07
K 0.8739 0.6309 0.2430  1 Au 3.36
Tl 0.3139 0.8139 0.5000  12 K 3.92-4.24
Tl 0.6861 0.1861 0.5000  12 K 3.92-4.24
Au 0.0000 0.5000 0.5000  4 K 3.36

energy of formation from the pure elements	-60	meV per atom
space group	Immm (71)

(2)
The following is a DFT calculation (GGA-PBE) of a relaxed structure of K3Tl5Au2.

a = 11.8601 Å, b = 11.8601 Å, c = 4.5380 Å
α = 90.00°, β = 90.00°, γ = 90.00°
Last column: nearest neighbours and their distance in Å.
Fractional positions:
K 0.0000 0.0000 0.0000  8 Tl 3.54
K 0.1732 0.3268 0.0000  3 Au 3.39-3.58, 2 Tl 3.69
K 0.3268 0.8268 0.0000  3 Au 3.39-3.58, 2 Tl 3.69
K 0.5000 0.5000 0.0000  8 Tl 3.54
K 0.6732 0.1732 0.0000  3 Au 3.39-3.58, 2 Tl 3.69
K 0.8268 0.6732 0.0000  3 Au 3.39-3.58, 2 Tl 3.69
Tl 0.0000 0.5000 0.5000  4 Au 3.09, 4 Tl 3.43
Tl 0.0673 0.7813 0.5000  2 Au 3.01
Tl 0.2187 0.0673 0.5000  2 Au 3.01
Tl 0.2813 0.5673 0.5000  2 Au 3.01
Tl 0.4327 0.2813 0.5000  2 Au 3.01
Tl 0.5000 0.0000 0.5000  4 Au 3.09, 4 Tl 3.43
Tl 0.5673 0.7187 0.5000  2 Au 3.01
Tl 0.7187 0.4327 0.5000  2 Au 3.01
Tl 0.7813 0.9327 0.5000  2 Au 3.01
Tl 0.9327 0.2187 0.5000  2 Au 3.01
Au 0.1249 0.6249 0.0000  6 Tl 3.01-3.09
Au 0.3751 0.1249 0.0000  6 Tl 3.01-3.09
Au 0.6249 0.8751 0.0000  6 Tl 3.01-3.09
Au 0.8751 0.3751 0.0000  6 Tl 3.01-3.09

energy of formation from the pure elements	-146	meV per atom
space group	P4/mbm (127)

(3)
The following is a DFT calculation (GGA-PBE) of a relaxed structure of K4Tl3Au5.

a = 6.6251 Å, b = 6.6251 Å, c = 13.0551 Å
α = 114.63°, β = 114.63°, γ = 47.69°
Last column: nearest neighbours and their distance in Å.
Fractional positions:
K 0.1477 0.1477 0.0012  5 Au 3.34-3.52, 3 K 3.56-3.66, 1 Tl 3.61
K 0.1513 0.1513 0.3349  5 Au 3.41-3.68, 4 Tl 3.67-3.77
K 0.8487 0.8487 0.6651  5 Au 3.41-3.68, 4 Tl 3.67-3.77
K 0.8523 0.8523 0.9988  5 Au 3.34-3.52, 3 K 3.56-3.66, 1 Tl 3.61
Tl 0.1797 0.1797 0.7393  4 Au 2.87-2.98
Tl 0.5000 0.5000 0.5000  2 Au 2.68
Tl 0.8203 0.8203 0.2607  4 Au 2.87-2.98
Au 0.0000 0.0000 0.5000  4 Tl 2.68-2.88
Au 0.4173 0.4173 0.2403  1 Au 2.78, 3 Tl 2.98-3.07
Au 0.4435 0.4435 0.8799  2 Au 2.78-2.79, 1 Tl 2.87
Au 0.5565 0.5565 0.1201  2 Au 2.78-2.79, 1 Tl 2.87
Au 0.5827 0.5827 0.7597  1 Au 2.78, 3 Tl 2.98-3.07

energy of formation from the pure elements	-206	meV per atom
space group	C2/m (12)

(4)
The following is a DFT calculation (GGA-PBE) of a relaxed structure of KTlAu3.

a = 5.4251 Å, b = 5.4251 Å, c = 5.4251 Å
α = 90.00°, β = 90.00°, γ = 90.00°
Last column: nearest neighbours and their distance in Å.
Fractional positions:
K 0.0000 0.0000 0.0000  12 Au 3.84
Tl 0.5000 0.5000 0.5000  6 Au 2.71
Au 0.0000 0.5000 0.5000  2 Tl 2.71
Au 0.5000 0.0000 0.5000  2 Tl 2.71
Au 0.5000 0.5000 0.0000  2 Tl 2.71

energy of formation from the pure elements	80	meV per atom
space group	Pm-3m (221)

(5)
The following is a DFT calculation (GGA-PBE) of a relaxed structure of KTl8Au2.

a = 6.6365 Å, b = 6.6365 Å, c = 9.4086 Å
α = 90.00°, β = 90.00°, γ = 90.00°
Last column: nearest neighbours and their distance in Å.
Fractional positions:
K 0.0000 0.0000 0.0000  8 Tl 3.67
Tl 0.2525 0.2525 0.2984  2 Au 3.02, 4 Tl 3.29-3.35
Tl 0.2525 0.2525 0.7016  2 Au 3.02, 4 Tl 3.29-3.35
Tl 0.2525 0.7475 0.2984  2 Au 3.02, 4 Tl 3.29-3.35
Tl 0.2525 0.7475 0.7016  2 Au 3.02, 4 Tl 3.29-3.35
Tl 0.7475 0.2525 0.2984  2 Au 3.02, 4 Tl 3.29-3.35
Tl 0.7475 0.2525 0.7016  2 Au 3.02, 4 Tl 3.29-3.35
Tl 0.7475 0.7475 0.2984  2 Au 3.02, 4 Tl 3.29-3.35
Tl 0.7475 0.7475 0.7016  2 Au 3.02, 4 Tl 3.29-3.35
Au 0.0000 0.5000 0.5000  8 Tl 3.02
Au 0.5000 0.0000 0.5000  8 Tl 3.02

energy of formation from the pure elements	52	meV per atom
space group	P4/mmm (123)

(6)
The following is a DFT calculation (GGA-PBE) of a relaxed structure of K2Tl5Au3.

a = 10.2598 Å, b = 10.2598 Å, c = 10.2598 Å
α = 116.28°, β = 79.32°, γ = 137.95°
Last column: nearest neighbours and their distance in Å.
Fractional positions:
K 0.1113 0.2364 0.3478  5 Au 3.61-3.97, 10 Tl 3.78-4.02
K 0.3887 0.7364 0.1251  5 Au 3.61-3.97, 10 Tl 3.78-4.02
K 0.6113 0.2636 0.8749  5 Au 3.61-3.97, 10 Tl 3.78-4.02
K 0.8887 0.7636 0.6522  5 Au 3.61-3.97, 10 Tl 3.78-4.02
Tl 0.0191 0.7500 0.2691  2 Au 2.92, 2 Tl 3.22
Tl 0.1206 0.8876 0.0083  3 Au 2.83-2.92
Tl 0.2500 0.7500 0.5000  4 Au 2.94
Tl 0.3794 0.3876 0.7670  3 Au 2.83-2.92
Tl 0.4809 0.7500 0.7309  2 Au 2.92, 2 Tl 3.22
Tl 0.5191 0.2500 0.2691  2 Au 2.92, 2 Tl 3.22
Tl 0.6206 0.6124 0.2330  3 Au 2.83-2.92
Tl 0.7500 0.2500 0.5000  4 Au 2.94
Tl 0.8794 0.1124 0.9917  3 Au 2.83-2.92
Tl 0.9809 0.2500 0.7309  2 Au 2.92, 2 Tl 3.22
Au 0.1163 0.6263 0.7427  5 Tl 2.83-2.94
Au 0.2500 0.2500 0.0000  4 Tl 2.92
Au 0.3837 0.1263 0.5100  5 Tl 2.83-2.94
Au 0.6163 0.8737 0.4900  5 Tl 2.83-2.94
Au 0.7500 0.7500 0.0000  4 Tl 2.92
Au 0.8837 0.3737 0.2573  5 Tl 2.83-2.94

energy of formation from the pure elements	-146	meV per atom
space group	Ibam (72)

(7)
The following is a DFT calculation (GGA-PBE) of a relaxed structure of KTl5Au3.

a = 8.0911 Å, b = 8.0911 Å, c = 15.8073 Å
α = 90.00°, β = 90.00°, γ = 148.04°
Last column: nearest neighbours and their distance in Å.
Fractional positions:
K 0.1782 0.8218 0.7500  6 Au 3.80-4.15, 8 Tl 3.99-4.24
K 0.8218 0.1782 0.2500  6 Au 3.80-4.15, 8 Tl 3.99-4.24
Tl 0.0000 0.0000 0.0000  4 Au 3.02, 6 Tl 3.30-3.32
Tl 0.0000 0.0000 0.5000  4 Au 3.02, 6 Tl 3.30-3.32
Tl 0.1974 0.8026 0.0796  4 Au 2.84-3.08
Tl 0.1974 0.8026 0.4204  4 Au 2.84-3.08
Tl 0.4693 0.5307 0.6509  4 Au 3.05-3.29, 3 Tl 3.13-3.30
Tl 0.4693 0.5307 0.8491  4 Au 3.05-3.29, 3 Tl 3.13-3.30
Tl 0.5307 0.4693 0.1509  4 Au 3.05-3.29, 3 Tl 3.13-3.30
Tl 0.5307 0.4693 0.3491  4 Au 3.05-3.29, 3 Tl 3.13-3.30
Tl 0.8026 0.1974 0.5796  4 Au 2.84-3.08
Tl 0.8026 0.1974 0.9204  4 Au 2.84-3.08
Au 0.1241 0.8759 0.2500  6 Tl 2.92-3.09
Au 0.3741 0.6259 0.0349  6 Tl 2.84-3.08
Au 0.3741 0.6259 0.4651  6 Tl 2.84-3.08
Au 0.6259 0.3741 0.5349  6 Tl 2.84-3.08
Au 0.6259 0.3741 0.9651  6 Tl 2.84-3.08
Au 0.8759 0.1241 0.7500  6 Tl 2.92-3.09

energy of formation from the pure elements	-59	meV per atom
space group	Cmcm (63)

(8)
The following is a DFT calculation (GGA-PBE) of a relaxed structure of K2Tl5Au.

a = 9.9168 Å, b = 9.9168 Å, c = 10.9362 Å
α = 90.00°, β = 90.00°, γ = 149.63°
Last column: nearest neighbours and their distance in Å.
Fractional positions:
K 0.0000 0.0000 0.0000  10 Tl 3.78-4.15, 4 Au 3.93
K 0.0000 0.0000 0.5000  10 Tl 3.78-4.15, 4 Au 3.93
K 0.1925 0.8075 0.7500  10 Tl 3.61-3.91, 2 Au 3.66
K 0.8075 0.1925 0.2500  10 Tl 3.61-3.91, 2 Au 3.66
Tl 0.1875 0.8125 0.1072  4 Tl 3.12-3.27
Tl 0.1875 0.8125 0.3928  4 Tl 3.12-3.27
Tl 0.3535 0.6465 0.0358  1 Au 2.89, 2 Tl 3.13
Tl 0.3535 0.6465 0.4642  1 Au 2.89, 2 Tl 3.13
Tl 0.4095 0.5905 0.7500  1 Au 2.84
Tl 0.5905 0.4095 0.2500  1 Au 2.84
Tl 0.6465 0.3535 0.5358  1 Au 2.89, 2 Tl 3.13
Tl 0.6465 0.3535 0.9642  1 Au 2.89, 2 Tl 3.13
Tl 0.8125 0.1875 0.6072  4 Tl 3.12-3.27
Tl 0.8125 0.1875 0.8928  4 Tl 3.12-3.27
Au 0.4422 0.5578 0.2500  3 Tl 2.84-2.89
Au 0.5578 0.4422 0.7500  3 Tl 2.84-2.89

energy of formation from the pure elements	-111	meV per atom
space group	Cmcm (63)

(9)
The following is a DFT calculation (GGA-PBE) of a relaxed structure of K2Tl12Au7.

a = 12.0498 Å, b = 12.0498 Å, c = 4.6867 Å
α = 90.00°, β = 90.00°, γ = 120.00°
Last column: nearest neighbours and their distance in Å.
Fractional positions:
K 0.0000 0.0000 0.0000  6 Au 3.75, 9 Tl 3.85-4.05
K 0.3333 0.6667 0.5000  6 Au 3.74, 6 Tl 3.77
Tl 0.0465 0.2733 0.5000  4 Au 2.91-3.09
Tl 0.1138 0.7118 0.0000  4 Au 2.92-3.09
Tl 0.2268 0.9535 0.5000  4 Au 2.91-3.09
Tl 0.2882 0.4020 0.0000  4 Au 2.92-3.09
Tl 0.3876 0.1854 0.0000  4 Au 2.91-3.05
Tl 0.5494 0.4384 0.5000  5 Au 3.15-3.30, 1 Tl 3.50
Tl 0.5616 0.1111 0.5000  5 Au 3.15-3.30, 1 Tl 3.50
Tl 0.5980 0.8862 0.0000  4 Au 2.92-3.09
Tl 0.7267 0.7732 0.5000  4 Au 2.91-3.09
Tl 0.7978 0.6124 0.0000  4 Au 2.91-3.05
Tl 0.8146 0.2022 0.0000  4 Au 2.91-3.05
Tl 0.8889 0.4506 0.5000  5 Au 3.15-3.30, 1 Tl 3.50
Au 0.0718 0.4512 0.0000  7 Tl 2.92-3.21
Au 0.2586 0.2226 0.5000  7 Tl 2.91-3.15
Au 0.3795 0.9282 0.0000  7 Tl 2.92-3.21
Au 0.5488 0.6205 0.0000  7 Tl 2.92-3.21
Au 0.6667 0.3333 0.0000  3 Tl 2.91
Au 0.7774 0.0360 0.5000  7 Tl 2.91-3.15
Au 0.9640 0.7414 0.5000  7 Tl 2.91-3.15

energy of formation from the pure elements	-105	meV per atom
space group	P-6 (174)

(10)
The following is a DFT calculation (GGA-PBE) of a relaxed structure of K2Tl5Au3.

a = 14.6529 Å, b = 14.6529 Å, c = 8.0480 Å
α = 90.00°, β = 90.00°, γ = 160.49°
Last column: nearest neighbours and their distance in Å.
Fractional positions:
K 0.0227 0.9773 0.5000  5 Au 3.30-3.59, 3 Tl 3.57-3.65
K 0.3241 0.6759 0.4466  4 Au 3.46-3.71, 9 Tl 3.54-3.79
K 0.6759 0.3241 0.9466  4 Au 3.46-3.71, 9 Tl 3.54-3.79
K 0.9773 0.0227 0.0000  5 Au 3.30-3.59, 3 Tl 3.57-3.65
Tl 0.0999 0.9001 0.1404  3 Au 2.95-3.01, 1 Tl 3.24
Tl 0.2048 0.7952 0.6431  4 Au 2.94-3.08, 1 Tl 3.27
Tl 0.2088 0.7912 0.2368  3 Au 3.00-3.03, 2 Tl 3.24-3.27
Tl 0.3750 0.6250 0.9777  2 Au 3.02-3.15
Tl 0.4482 0.5518 0.3255  4 Au 3.02-3.03
Tl 0.5518 0.4482 0.8255  4 Au 3.02-3.03
Tl 0.6250 0.3750 0.4777  2 Au 3.02-3.15
Tl 0.7912 0.2088 0.7368  3 Au 3.00-3.03, 2 Tl 3.24-3.27
Tl 0.7952 0.2048 0.1431  4 Au 2.94-3.08, 1 Tl 3.27
Tl 0.9001 0.0999 0.6404  3 Au 2.95-3.01, 1 Tl 3.24
Au 0.1092 0.8908 0.7679  4 Tl 2.94-3.02
Au 0.2712 0.7288 0.9342  7 Tl 3.00-3.08
Au 0.4526 0.5474 0.7021  5 Tl 2.95-3.15
Au 0.5474 0.4526 0.2021  5 Tl 2.95-3.15
Au 0.7288 0.2712 0.4342  7 Tl 3.00-3.08
Au 0.8908 0.1092 0.2679  4 Tl 2.94-3.02

energy of formation from the pure elements	-162	meV per atom
space group	Cmc2_1 (36)

(11)
The following is a DFT calculation (GGA-PBE) of a relaxed structure of KTl4Au4.

a = 7.3697 Å, b = 7.3697 Å, c = 9.5316 Å
α = 90.00°, β = 90.00°, γ = 90.00°
Last column: nearest neighbours and their distance in Å.
Fractional positions:
K 0.2500 0.7500 0.2500  12 Tl 3.88-4.34, 12 Au 3.96-4.23
K 0.7500 0.2500 0.7500  12 Tl 3.88-4.34, 12 Au 3.96-4.23
Tl 0.0017 0.7500 0.6092  5 Au 2.91-3.00
Tl 0.2500 0.5017 0.8908  5 Au 2.91-3.00
Tl 0.2500 0.9983 0.8908  5 Au 2.91-3.00
Tl 0.4983 0.7500 0.6092  5 Au 2.91-3.00
Tl 0.5017 0.2500 0.3908  5 Au 2.91-3.00
Tl 0.7500 0.0017 0.1092  5 Au 2.91-3.00
Tl 0.7500 0.4983 0.1092  5 Au 2.91-3.00
Tl 0.9983 0.2500 0.3908  5 Au 2.91-3.00
Au 0.0600 0.2500 0.0893  1 Au 2.80, 5 Tl 2.91-3.00
Au 0.2500 0.0600 0.5893  1 Au 2.80, 5 Tl 2.91-3.00
Au 0.2500 0.4400 0.5893  1 Au 2.80, 5 Tl 2.91-3.00
Au 0.4400 0.2500 0.0893  1 Au 2.80, 5 Tl 2.91-3.00
Au 0.5600 0.7500 0.9107  1 Au 2.80, 5 Tl 2.91-3.00
Au 0.7500 0.5600 0.4107  1 Au 2.80, 5 Tl 2.91-3.00
Au 0.7500 0.9400 0.4107  1 Au 2.80, 5 Tl 2.91-3.00
Au 0.9400 0.7500 0.9107  1 Au 2.80, 5 Tl 2.91-3.00

energy of formation from the pure elements	-110	meV per atom
space group	P4_2/nmc (137)

(12)
The following is a DFT calculation (GGA-PBE) of a relaxed structure of K2Tl12Au.

a = 7.1097 Å, b = 7.1097 Å, c = 19.9526 Å
α = 90.00°, β = 90.00°, γ = 90.00°
Last column: nearest neighbours and their distance in Å.
Fractional positions:
K 0.2500 0.7500 0.2484  14 Tl 3.81-4.20
K 0.2500 0.7500 0.7516  14 Tl 3.81-4.20
K 0.7500 0.2500 0.2484  14 Tl 3.81-4.20
K 0.7500 0.2500 0.7516  14 Tl 3.81-4.20
Tl 0.9999 0.0001 0.4167  2 Au 3.01, 3 Tl 3.21-3.32
Tl 0.0001 0.9999 0.5833  2 Au 3.01, 3 Tl 3.21-3.32
Tl 0.0001 0.5001 0.4167  2 Au 3.01, 3 Tl 3.21-3.32
Tl 0.9999 0.4999 0.5833  2 Au 3.01, 3 Tl 3.21-3.32
Tl 0.0840 0.5840 0.0673  4 Tl 3.17-3.34
Tl 0.0840 0.9160 0.9327  4 Tl 3.17-3.34
Tl 0.2500 0.2500 0.1613  5 Tl 3.11-3.25
Tl 0.2500 0.2500 0.3169  5 Tl 3.11-3.21
Tl 0.2500 0.2500 0.6831  5 Tl 3.11-3.21
Tl 0.2500 0.2500 0.8387  5 Tl 3.11-3.25
Tl 0.4160 0.5840 0.9327  4 Tl 3.17-3.34
Tl 0.4160 0.9160 0.0673  4 Tl 3.17-3.34
Tl 0.4999 0.9999 0.4167  2 Au 3.01, 3 Tl 3.21-3.32
Tl 0.5001 0.0001 0.5833  2 Au 3.01, 3 Tl 3.21-3.32
Tl 0.5001 0.4999 0.4167  2 Au 3.01, 3 Tl 3.21-3.32
Tl 0.4999 0.5001 0.5833  2 Au 3.01, 3 Tl 3.21-3.32
Tl 0.5840 0.0840 0.9327  4 Tl 3.17-3.34
Tl 0.5840 0.4160 0.0673  4 Tl 3.17-3.34
Tl 0.7500 0.7500 0.1613  5 Tl 3.11-3.25
Tl 0.7500 0.7500 0.3169  5 Tl 3.11-3.21
Tl 0.7500 0.7500 0.6831  5 Tl 3.11-3.21
Tl 0.7500 0.7500 0.8387  5 Tl 3.11-3.25
Tl 0.9160 0.0840 0.0673  4 Tl 3.17-3.34
Tl 0.9160 0.4160 0.9327  4 Tl 3.17-3.34
Au 0.2500 0.7500 0.5000  8 Tl 3.01
Au 0.7500 0.2500 0.5000  8 Tl 3.01

energy of formation from the pure elements	-20	meV per atom
space group	P4/nbm (125)